VASP calculation (PBE) on AuS4F after structural relaxation.

a = 6.853 Å, b = 5.540 Å, c = 7.595 Å
α = 47.55°, β = 79.69°, γ = 111.84°
Fractional coordinates of all 6 atoms:
Au1 0.946 0.414 0.524
S1 0.086 0.084 0.535
S2 0.788 0.712 0.533
S3 0.984 0.681 0.958
S4 0.139 0.403 0.005
F1 0.546 0.222 0.952

Summary:
Space-group type: P1
ΔE_f (raw) in eV/f.u.: -1.1
M_tot in μB/cell: 0.000

VASP calculation (PBE) on TlAu2SF after structural relaxation.

a = 4.584 Å, b = 7.011 Å, c = 4.584 Å
α = 90.00°, β = 90.00°, γ = 90.00°
Fractional coordinates of all 5 atoms:
Tl1 0.000 0.500 0.000
Au1 0.000 0.000 0.500
Au2 0.500 0.000 0.000
S1 0.000 0.000 0.000
F1 0.500 0.500 0.500

Summary:
Space-group type: P4/mmm
Density of states at the Fermi level in states/eV/f.u.: 0.011
ΔE_f (raw) in eV/f.u.: -1.6
M_tot in μB/cell: 0.000